Entry 1:
The following is a GGA-PBE calculation of a relaxed IrOsCl crystal, from the Alexandria database.

Values from the calculation:
The formation energy (no corrections) is 654 meV/atom.

Unit cell a=2.8867 b=2.8867 c=6.3821 alpha=90.00 beta=90.00 gamma=120.00
Positions (direct):
Os1 0.3333 0.6667 0.6625
Cl1 0.0000 0.0000 0.9870
Ir1 0.6667 0.3333 0.3505



Entry 2:
The following is a GGA-PBE calculation of a relaxed Tb4PtRh3 crystal, from the Alexandria database.

Values from the calculation:
The raw total energy comes out at -6.765 eV per atom.

Unit cell a=4.8719 b=6.9716 c=9.7435 alpha=90.00 beta=90.00 gamma=90.00
Positions (direct):
Tb1 0.0000 0.7513 0.2500
Tb2 0.0000 0.2487 0.7500
Tb3 0.0000 0.7513 0.7500
Tb4 0.5000 0.7513 0.0000
Tb5 0.5000 0.7513 0.5000
Tb6 0.5000 0.2487 0.5000
Tb7 0.5000 0.2487 0.0000
Tb8 0.0000 0.2487 0.2500
Pt1 0.0000 0.5000 0.5000
Pt2 0.0000 0.5000 0.0000
Rh1 0.4998 0.0000 0.2500
Rh2 0.5001 0.5000 0.2500
Rh3 0.0000 0.0000 0.0000
Rh4 0.0000 0.0000 0.5000
Rh5 0.4999 0.5000 0.7500
Rh6 0.5002 0.0000 0.7500



Entry 3:
The following is a GGA-PBE calculation of a relaxed PmCo12B6 crystal, from the Alexandria database.

Values from the calculation:
The raw total energy comes out at -7.193 eV per atom.

Unit cell a=5.9712 b=5.9712 c=5.9712 alpha=103.99 beta=103.99 gamma=103.99
Site moments in Bohr magnetons follow the coordinates.
Positions (direct):
Co1 0.5000 0.1329 0.8671  0.33
Co2 0.8671 0.1329 0.5000  0.33
Co3 0.1870 0.4582 0.4582  0.90
Co4 0.4582 0.4582 0.1870  0.90
Co5 0.8130 0.5418 0.5418  0.90
Co6 0.5418 0.8130 0.5418  0.90
Co7 0.4582 0.1870 0.4582  0.90
Co8 0.5000 0.8671 0.1329  0.33
Co9 0.1329 0.5000 0.8671  0.33
Co10 0.1329 0.8671 0.5000  0.33
Co11 0.8671 0.5000 0.1329  0.33
Co12 0.5418 0.5418 0.8130  0.90
B1 0.2316 0.2316 0.6741  -0.04
B2 0.7684 0.3259 0.7684  -0.04
B3 0.6741 0.2316 0.2316  -0.04
B4 0.7684 0.7684 0.3259  -0.04
B5 0.3259 0.7684 0.7684  -0.04
B6 0.2316 0.6741 0.2316  -0.04
Pm1 0.0000 0.0000 0.0000  -0.07



Entry 4:
The following is a GGA-PBE calculation of a relaxed LiTlMo2 crystal, from the Alexandria database.

Values from the calculation:
The raw total energy comes out at -6.087 eV per atom.

Unit cell a=4.6698 b=3.7659 c=3.7659 alpha=90.00 beta=90.00 gamma=90.00
Positions (direct):
Tl1 0.5000 0.5000 0.0000
Mo1 0.0000 0.5000 0.5000
Mo2 0.0000 0.0000 0.0000
Li1 0.5000 0.0000 0.5000



Entry 5:
The following is a GGA-PBE calculation of a relaxed Mn2ZnRh crystal, from the Alexandria database.

Values from the calculation:
The raw total energy comes out at -6.723 eV per atom.

Unit cell a=8.5178 b=8.5178 c=8.5178 alpha=18.33 beta=18.33 gamma=18.33
Site moments in Bohr magnetons follow the coordinates.
Positions (direct):
Zn1 0.7490 0.7490 0.7490  0.01
Mn1 0.9958 0.9958 0.9958  -2.23
Mn2 0.2531 0.2531 0.2531  2.77
Rh1 0.5021 0.5021 0.5021  0.55



Entry 6:
The following is a GGA-PBE calculation of a relaxed SrHgPb2 crystal, from the Alexandria database.

Values from the calculation:
The raw total energy comes out at -2.499 eV per atom.

Unit cell a=10.0736 b=10.0736 c=10.0736 alpha=22.74 beta=22.74 gamma=22.74
Positions (direct):
Pb1 0.2543 0.2543 0.2543
Pb2 0.0033 0.0033 0.0033
Sr1 0.4948 0.4948 0.4948
Hg1 0.7476 0.7476 0.7476



Entry 7:
The following is a GGA-PBE calculation of a relaxed KNa2SrCu crystal, from the Alexandria database.

Values from the calculation:
The raw total energy comes out at -0.946 eV per atom.

Unit cell a=6.8383 b=7.9549 c=6.8383 alpha=90.00 beta=90.00 gamma=90.00
Positions (direct):
Cu1 0.5000 0.5000 0.5000
Na1 0.5000 0.0000 0.0000
Na2 0.0000 0.0000 0.5000
K1 0.0000 0.5000 0.0000
Sr1 0.0000 0.0000 0.0000



Entry 8:
The following is a GGA-PBE calculation of a relaxed SiNi2Pb crystal, from the Alexandria database.

Values from the calculation:
The formation energy (no corrections) is -86 meV/atom.

Unit cell a=5.8777 b=5.8777 c=5.8777 alpha=37.92 beta=37.92 gamma=37.92
Positions (direct):
Ni1 0.2946 0.2946 0.2946
Ni2 0.0421 0.0421 0.0421
Pb1 0.4909 0.4909 0.4909
Si1 0.6724 0.6724 0.6724



Entry 9:
The following is a GGA-PBE calculation of a relaxed Pu4CuRu3 crystal, from the Alexandria database.

Values from the calculation:
The raw total energy comes out at -11.248 eV per atom.

Unit cell a=4.7354 b=4.7351 c=7.7573 alpha=107.76 beta=107.77 gamma=90.00
Site moments in Bohr magnetons follow the coordinates.
Positions (direct):
Ru1 0.0000 0.5000 0.0000  -0.82
Ru2 0.2489 0.7490 0.4977  -0.69
Ru3 0.7511 0.2510 0.5023  -0.69
Pu1 0.6263 0.6263 0.2526  5.05
Pu2 0.8737 0.8737 0.7474  5.05
Pu3 0.3737 0.3737 0.7474  5.05
Pu4 0.1263 0.1263 0.2526  5.05
Cu1 0.5000 0.0000 0.0000  0.03



Entry 10:
The following is a GGA-PBE calculation of a relaxed Cs3Ga5Au2 crystal, from the Alexandria database.

Values from the calculation:
The raw total energy comes out at -2.549 eV per atom.

Unit cell a=6.9899 b=9.8722 c=9.8722 alpha=70.45 beta=69.27 gamma=69.27
Positions (direct):
Ga1 0.6176 0.2609 0.5039
Ga2 0.1176 0.5039 0.2609
Ga3 0.9843 0.2657 0.2657
Ga4 0.3824 0.7391 0.4961
Ga5 0.4843 0.2657 0.2657
Ga6 0.0157 0.7343 0.7343
Ga7 0.7500 0.5000 0.5000
Ga8 0.8824 0.4961 0.7391
Ga9 0.2500 0.5000 0.5000
Ga10 0.5157 0.7343 0.7343
Cs1 0.3794 0.3706 0.8707
Cs2 0.8794 0.8707 0.3706
Cs3 0.1206 0.1293 0.6294
Cs4 0.6206 0.6294 0.1293
Cs5 0.7500 0.0000 0.0000
Cs6 0.2500 0.0000 0.0000
Au1 0.8325 0.3173 0.0178
Au2 0.3325 0.0178 0.3173
Au3 0.6675 0.9822 0.6827
Au4 0.1675 0.6827 0.9822



Entry 11:
The following is a GGA-PBE calculation of a relaxed LaSm3Th2P6 crystal, from the Alexandria database.

Values from the calculation:
The raw total energy comes out at -7.123 eV per atom.

Unit cell a=7.1947 b=7.1947 c=7.1581 alpha=99.62 beta=99.62 gamma=120.05
Positions (direct):
P1 0.2552 0.2552 0.7484
P2 0.7448 0.7448 0.2516
P3 0.5772 0.9159 0.7483
P4 0.9159 0.5772 0.7483
P5 0.0841 0.4228 0.2517
P6 0.4228 0.0841 0.2517
La1 0.0000 0.0000 0.0000
Th1 0.3330 0.6670 0.0000
Th2 0.6670 0.3330 0.0000
Sm1 0.8346 0.1654 0.5000
Sm2 0.1654 0.8346 0.5000
Sm3 0.5000 0.5000 0.5000



Entry 12:
The following is a GGA-PBE calculation of a relaxed NdTm2Pd crystal, from the Alexandria database.

Values from the calculation:
The raw total energy comes out at -5.195 eV per atom.

Unit cell a=6.5009 b=7.0778 c=9.6292 alpha=90.00 beta=90.00 gamma=90.00
Positions (direct):
Nd1 0.3671 0.4860 0.7500
Nd2 0.6329 0.5140 0.2500
Nd3 0.1329 0.9860 0.7500
Nd4 0.8671 0.0140 0.2500
Tm1 0.3271 0.1781 0.4396
Tm2 0.1729 0.6781 0.0604
Tm3 0.6729 0.8219 0.9396
Tm4 0.8271 0.3219 0.5604
Tm5 0.8271 0.3219 0.9396
Tm6 0.3271 0.1781 0.0604
Tm7 0.1729 0.6781 0.4396
Tm8 0.6729 0.8219 0.5604
Pd1 0.4225 0.8877 0.2500
Pd2 0.0775 0.3877 0.2500
Pd3 0.5775 0.1123 0.7500
Pd4 0.9225 0.6123 0.7500



Entry 13:
The following is a GGA-PBE calculation of a relaxed KPdCl crystal, from the Alexandria database.

Values from the calculation:
The formation energy (no corrections) is -764 meV/atom.

Unit cell a=5.5760 b=5.4708 c=7.4471 alpha=109.81 beta=89.20 gamma=64.49
Positions (direct):
K1 0.6198 0.3278 0.7254
K2 0.3802 0.6722 0.2746
Pd1 0.5000 0.0000 0.0000
Pd2 0.0000 0.0000 0.0000
Cl1 0.2622 0.9802 0.7343
Cl2 0.7378 0.0198 0.2657



Entry 14:
The following is a GGA-PBE calculation of a relaxed Pu2HgPd crystal, from the Alexandria database.

Values from the calculation:
The raw total energy comes out at -8.442 eV per atom.

Unit cell a=3.2608 b=3.2608 c=11.1903 alpha=81.62 beta=81.62 gamma=60.00
Site moments in Bohr magnetons follow the coordinates.
Positions (direct):
Pu1 0.0968 0.0968 0.7097  5.68
Pu2 0.9032 0.9032 0.2903  5.68
Hg1 0.0000 0.0000 0.0000  0.04
Pd1 0.5000 0.5000 0.5000  0.10



Entry 15:
The following is a GGA-PBE calculation of a relaxed Tm2TlBi crystal, from the Alexandria database.

Values from the calculation:
The raw total energy comes out at -4.187 eV per atom.

Unit cell a=6.2364 b=6.2591 c=12.4351 alpha=100.32 beta=90.00 gamma=90.00
Positions (direct):
Tm1 0.7521 0.9604 0.3787
Tm2 0.2479 0.0396 0.6213
Tm3 0.2529 0.9918 0.1194
Tm4 0.2529 0.5082 0.3806
Tm5 0.7521 0.5396 0.1213
Tm6 0.2479 0.4604 0.8787
Tm7 0.7471 0.0082 0.8806
Tm8 0.7471 0.4918 0.6194
Bi1 0.2521 0.0082 0.3725
Bi2 0.7479 0.5082 0.8725
Bi3 0.2521 0.4918 0.1275
Bi4 0.7479 0.9918 0.6275
Tl1 0.7529 0.0490 0.1393
Tl2 0.2471 0.9510 0.8607
Tl3 0.2471 0.5490 0.6393
Tl4 0.7529 0.4510 0.3607



Entry 16:
The following is a GGA-PBE calculation of a relaxed Re2OsRh crystal, from the Alexandria database.

Values from the calculation:
The raw total energy comes out at -10.857 eV per atom.

Unit cell a=9.1171 b=9.1171 c=9.1171 alpha=17.30 beta=17.30 gamma=17.30
Positions (direct):
Re1 0.7501 0.7501 0.7501
Re2 0.2499 0.2499 0.2499
Os1 0.0000 0.0000 0.0000
Rh1 0.5000 0.5000 0.5000



Entry 17:
The following is a GGA-PBE calculation of a relaxed TaMo2Ir crystal, from the Alexandria database.

Values from the calculation:
The raw total energy comes out at -10.504 eV per atom.

Unit cell a=9.6698 b=9.6698 c=9.6698 alpha=16.69 beta=16.69 gamma=16.69
Positions (direct):
Ta1 0.4960 0.4960 0.4960
Mo1 0.2517 0.2517 0.2517
Mo2 0.0044 0.0044 0.0044
Ir1 0.7479 0.7479 0.7479



Entry 18:
The following is a GGA-PBE calculation of a relaxed Ho3InCu8 crystal, from the Alexandria database.

Values from the calculation:
The raw total energy comes out at -4.324 eV per atom.

Unit cell a=5.1744 b=5.1744 c=9.0110 alpha=73.31 beta=73.31 gamma=60.00
Positions (direct):
Cu1 0.9375 0.9375 0.6884
Cu2 0.6872 0.6872 0.9384
Cu3 0.4357 0.4357 0.1857
Cu4 0.9429 0.4357 0.1857
Cu5 0.4357 0.9429 0.1857
Cu6 0.9375 0.4367 0.6884
Cu7 0.4367 0.9375 0.6884
Cu8 0.1882 0.1882 0.4355
In1 0.8718 0.8718 0.3847
Ho1 0.9960 0.9960 0.0119
Ho2 0.3780 0.3780 0.8660
Ho3 0.5028 0.5028 0.4916



Entry 19:
The following is a GGA-PBE calculation of a relaxed MgAsSe crystal, from the Alexandria database.

Values from the calculation:
The formation energy (no corrections) is -142 meV/atom.

Unit cell a=3.7678 b=3.7678 c=5.3407 alpha=90.00 beta=90.00 gamma=120.00
Positions (direct):
Se1 0.3333 0.6667 0.6472
Mg1 0.6667 0.3333 0.3512
As1 0.0000 0.0000 0.0017



Entry 20:
The following is a GGA-PBE calculation of a relaxed YC3 crystal, from the Alexandria database.

Values from the calculation:
The raw total energy comes out at -7.079 eV per atom.

Unit cell a=3.3926 b=3.3926 c=4.8672 alpha=90.00 beta=90.00 gamma=120.00
Positions (direct):
C1 0.0000 0.0000 0.3952
C2 0.6667 0.3333 0.2500
C3 0.0000 0.0000 0.1048
Y1 0.6667 0.3333 0.7500